TlRuSe2 (GGA-PBE, optimized geometry); energy above the most stable polymorph in this dataset = 935 meV per atom; space group = F-43m; calculated total energy = -3.92 eV/atom
1.0
0.000 3.408 3.408
3.408 0.000 3.408
3.408 3.408 0.000
Tl Ru Se
1 1 2
direct
0.000 0.000 0.000
0.750 0.750 0.750
0.250 0.250 0.250
0.500 0.500 0.500

***

TlRuSe2 (GGA-PBE, optimized geometry); energy above the most stable polymorph in this dataset = 64 meV per atom; space group = I-42d; calculated total energy = -4.79 eV/atom
1.0
-3.707 3.707 3.883
3.707 -3.707 3.883
3.707 3.707 -3.883
Tl Ru Se
2 2 4
direct
0.000 0.000 0.000
0.750 0.250 0.500
0.250 0.750 0.500
0.500 0.500 0.000
0.225 0.625 0.100
0.375 0.475 0.600
0.525 0.125 0.900
0.875 0.775 0.400

***

TlRuSe2 (GGA-PBE, optimized geometry); energy above the most stable polymorph in this dataset = 841 meV per atom; space group = I-4m2; calculated total energy = -4.01 eV/atom
1.0
-2.165 2.165 4.226
2.165 -2.165 4.226
2.165 2.165 -4.226
Tl Ru Se
1 1 2
direct
0.000 0.000 0.000
0.250 0.750 0.500
0.500 0.500 0.000
0.750 0.250 0.500